P) Below is CdTc2P2 after structural relaxation, with properties calculated at the PBE-GGA level.

a = 7.0767 Å, b = 7.0767 Å, c = 2.9313 Å
α = 90.00°, β = 90.00°, γ = 90.00°
Last column: nearest neighbours and their distance in Å.
Space group P4/mbm (No. 127)
Symmetry-distinct sites (fractional):
1 Cd 0.0000 0.0000 0.0000 (multiplicity 2)  4 P 2.74, 2 Cd 2.93
2 Tc 0.1488 0.3512 0.5000 (multiplicity 4)  6 P 2.51-2.59
3 P 0.1381 0.6381 0.0000 (multiplicity 4)  6 Tc 2.51-2.59, 2 Cd 2.74, 1 P 2.77

Summary:
M_tot, μB per formula unit: 0.00
Calculated density, Mg/m³: 8.4
Crystal system: tetragonal

---

Q) Below is CdTc2P2 after structural relaxation, with properties calculated at the PBE-GGA level.

a = 3.5479 Å, b = 3.5479 Å, c = 12.4589 Å
α = 90.00°, β = 90.00°, γ = 90.00°
Last column: nearest neighbours and their distance in Å.
Space group I4/mmm (No. 139)
Symmetry-distinct sites (fractional):
1 Cd 0.0000 0.0000 0.0000 (multiplicity 2)  8 Tc 2.95
2 Tc 0.0000 0.0000 0.3747 (multiplicity 4)  4 P 2.36
3 P 0.0000 0.5000 0.2500 (multiplicity 4)  4 Tc 2.36, 4 P 2.51

Summary:
M_tot, μB per formula unit: 0.00
Calculated density, Mg/m³: 7.8
Crystal system: tetragonal

---

Energy ordering: Q) at the bottom, the next structure 120 meV/atom above.